{
  "formula": "Ti2MoC",
  "functional": "PBE",
  "state": "optimized geometry",
  "e_tot_ev_per_atom": -9.3086,
  "spacegroup": "No. 166",
  "dos_ef_per_ev_atom": 1.05,
  "formation_energy_ev_per_atom": -0.347,
  "crystal_system": "trigonal",
  "lattice": [[-2.357, -1.675, 0.695], [0.289, -2.248, 1.925], [-2.234, 3.097, 6.249]],
  "species": ["Ti", "Ti", "Mo", "C"],
  "fractional_positions": [[0.277, 0.277, 0.170], [0.723, 0.723, 0.830], [0.500, 0.500, 0.500], [0.000, 0.000, 0.000]]
}